A plane-wave DFT calculation with SCAN was carried out for a PBEsol-optimized structure of LaAl2Pd2.

## Properties
energy relative to the lowest polymorph listed for this composition	0.000	eV per formula unit
formation energy	-1014	meV per atom
D(E_F)	3.58	states/eV/f.u.
total magnetization	0.0000	μB per atom
ρ	7015	kg/m3

The structure in extended XYZ format:
```
10
Lattice="4.3859 0.0000 0.0000 0.0000 4.3859 0.0000 0.0000 0.0000 9.9859" Properties=species:S:1:pos:R:3 pbc="T T T"
La 1.0965 1.0965 2.4578
La 3.2894 3.2894 7.5280
Al 1.0965 1.0965 8.7649
Al 1.0965 3.2894 4.9929
Al 3.2894 1.0965 4.9929
Al 3.2894 3.2894 1.2210
Pd 1.0965 1.0965 6.2801
Pd 1.0965 3.2894 0.0000
Pd 3.2894 1.0965 0.0000
Pd 3.2894 3.2894 3.7058
```



A plane-wave DFT calculation with SCAN was carried out for a PBEsol-optimized structure of La2AlPd.

## Properties
formation energy	-290	meV per atom
D(E_F)	2.79	states/eV/f.u.
total magnetization	0.0000	μB per atom
ρ	6534	kg/m3

The structure in extended XYZ format:
```
8
Lattice="-4.1423 4.1423 3.0453 4.1423 -4.1423 3.0453 4.1423 4.1423 -3.0453" Properties=species:S:1:pos:R:3 pbc="T T T"
La 6.2134 1.6842 -0.7613
La 1.6842 2.0711 0.7613
La -2.0711 2.4581 2.2839
La 2.4581 2.0711 3.8066
Al 4.1423 0.0000 1.5226
Al 0.0000 0.0000 3.0453
Pd 0.0000 0.0000 0.0000
Pd 0.0000 4.1423 1.5226
```



A plane-wave DFT calculation with SCAN was carried out for a PBEsol-optimized structure of LaAl2Pd2.

## Properties
energy relative to the lowest polymorph listed for this composition	0.370	eV per formula unit
formation energy	-940	meV per atom
D(E_F)	3.46	states/eV/f.u.
total magnetization	0.0000	μB per atom
ρ	6941	kg/m3

The structure in extended XYZ format:
```
5
Lattice="-2.1784 2.1784 5.1131 2.1784 -2.1784 5.1131 2.1784 2.1784 -5.1131" Properties=species:S:1:pos:R:3 pbc="T T T"
La 0.0000 0.0000 0.0000
Al 0.0000 0.0000 3.7670
Al 0.0000 0.0000 6.4593
Pd 2.1784 0.0000 2.5566
Pd 0.0000 2.1784 2.5566
```



A plane-wave DFT calculation with SCAN was carried out for a PBEsol-optimized structure of LaTaAlPd2.

## Properties
formation energy	1512	meV per atom
D(E_F)	3.35	states/eV/f.u.
total magnetization	0.2220	μB per atom
ρ	7394	kg/m3

The structure in extended XYZ format:
```
5
Lattice="4.8915 0.0000 0.0000 0.0000 4.8915 0.0000 0.0000 0.0000 5.2530" Properties=species:S:1:pos:R:3 pbc="T T T"
La 0.0000 0.0000 0.0000
Ta 0.0000 0.0000 2.6265
Al 2.4457 2.4457 2.6265
Pd 0.0000 2.4457 0.0000
Pd 2.4457 0.0000 0.0000
```